No. 1
AsPBr4 after structural relaxation. Source: Alexandria via LeMat-Bulk, functional PBE.

## Properties
SG: F-43m (216)
Total DFT energy (no corrections) (eV per atom): -1.5493
Calculated volume (Å³ per cell): 168.1
DOS at the Fermi energy (states/eV per atom): 1.30

Lattice parameters (Å, degrees): 6.194 6.194 6.194 60.00 60.00 60.00
Element x y z (fractional)
As (0.000, 0.000, 0.000)
P (0.250, 0.250, 0.250)
Br (0.124, 0.625, 0.625)
Br (0.625, 0.124, 0.625)
Br (0.625, 0.625, 0.124)
Br (0.625, 0.625, 0.625)

=====

No. 2
As2PBr after structural relaxation. Source: Alexandria via LeMat-Bulk, functional PBE.

## Properties
SG: Cm (8)
Total DFT energy (no corrections) (eV per atom): -4.0522
Calculated volume (Å³ per cell): 278.4
Energy above the most stable polymorph in this dataset (kJ per mole of atoms): 0.0

Lattice parameters (Å, degrees): 11.830 3.492 7.041 90.00 106.82 90.00
Element x y z (fractional)
As (0.000, 0.000, 0.000)
As (0.151, 0.500, 0.287)
As (0.500, 0.500, 0.000)
As (0.651, 0.000, 0.287)
P (0.449, 0.000, 0.196)
P (0.949, 0.500, 0.196)
Br (0.211, 0.000, 0.587)
Br (0.711, 0.500, 0.587)

=====

No. 3
AsPBr after structural relaxation. Source: Alexandria via LeMat-Bulk, functional PBE.

## Properties
SG: P1 (1)
Total DFT energy (no corrections) (eV per atom): -3.8357
Calculated volume (Å³ per cell): 235.4
Energy above the most stable polymorph in this dataset (kJ per mole of atoms): 1.3

Lattice parameters (Å, degrees): 5.986 6.748 6.757 61.12 81.82 81.08
Element x y z (fractional)
As (0.000, 0.000, 0.000)
As (0.084, 0.284, 0.606)
P (0.175, 0.330, 0.883)
P (0.606, 0.144, 0.054)
Br (0.522, 0.854, 0.400)
Br (0.637, 0.430, 0.128)

=====

No. 4
AsPBr after structural relaxation. Source: Alexandria via LeMat-Bulk, functional PBE.

## Properties
SG: F-43m (216)
Total DFT energy (no corrections) (eV per atom): -3.2706
Calculated volume (Å³ per cell): 278.6
DOS at the Fermi energy (states/eV per atom): 0.39
Energy above the most stable polymorph in this dataset (kJ per mole of atoms): 55.8

Lattice parameters (Å, degrees): 6.531 6.531 6.531 90.00 90.00 90.00
Element x y z (fractional)
As (0.000, 0.000, 0.000)
As (0.000, 0.500, 0.500)
As (0.500, 0.000, 0.500)
As (0.500, 0.500, 0.000)
P (0.250, 0.250, 0.750)
P (0.250, 0.750, 0.250)
P (0.750, 0.250, 0.250)
P (0.750, 0.750, 0.750)
Br (0.000, 0.000, 0.500)
Br (0.000, 0.500, 0.000)
Br (0.500, 0.000, 0.000)
Br (0.500, 0.500, 0.500)

=====

No. 5
As2PBr after structural relaxation. Source: Alexandria via LeMat-Bulk, functional PBE.

## Properties
SG: R-3m (166)
Total DFT energy (no corrections) (eV per atom): -3.8669
Calculated volume (Å³ per cell): 250.3
DOS at the Fermi energy (states/eV per atom): 0.56
Energy above the most stable polymorph in this dataset (kJ per mole of atoms): 17.9

Lattice parameters (Å, degrees): 3.564 3.564 22.749 90.00 90.00 120.00
Element x y z (fractional)
As (0.000, 0.000, 0.234)
As (0.000, 0.000, 0.766)
As (0.333, 0.667, 0.432)
As (0.333, 0.667, 0.901)
As (0.667, 0.333, 0.099)
As (0.667, 0.333, 0.568)
P (0.000, 0.000, 0.500)
P (0.333, 0.667, 0.167)
P (0.667, 0.333, 0.833)
Br (0.000, 0.000, 0.000)
Br (0.333, 0.667, 0.667)
Br (0.667, 0.333, 0.333)

=====

No. 6
As2PBr after structural relaxation. Source: Alexandria via LeMat-Bulk, functional PBE.

## Properties
SG: Cmmm (65)
Total DFT energy (no corrections) (eV per atom): -3.7156
Calculated volume (Å³ per cell): 196.9
DOS at the Fermi energy (states/eV per atom): 0.56
Energy above the most stable polymorph in this dataset (kJ per mole of atoms): 32.5

Lattice parameters (Å, degrees): 3.596 7.111 7.700 90.00 90.00 90.00
Element x y z (fractional)
As (0.000, 0.000, 0.207)
As (0.000, 0.000, 0.793)
As (0.500, 0.500, 0.207)
As (0.500, 0.500, 0.793)
P (0.000, 0.500, 0.000)
P (0.500, 0.000, 0.000)
Br (0.000, 0.500, 0.500)
Br (0.500, 0.000, 0.500)

=====

No. 7
As2PBr after structural relaxation. Source: Alexandria via LeMat-Bulk, functional PBE.

## Properties
SG: P4/mmm (123)
Total DFT energy (no corrections) (eV per atom): -3.7920
Calculated volume (Å³ per cell): 83.2
DOS at the Fermi energy (states/eV per atom): 0.62
Energy above the most stable polymorph in this dataset (kJ per mole of atoms): 25.1

Lattice parameters (Å, degrees): 3.347 3.347 7.430 90.00 90.00 90.00
Element x y z (fractional)
As (0.000, 0.000, 0.177)
As (0.000, 0.000, 0.823)
P (0.500, 0.500, 0.000)
Br (0.500, 0.500, 0.500)

=====

No. 8
As2P2Br after structural relaxation. Source: Alexandria via LeMat-Bulk, functional PBE.

## Properties
SG: I4/mmm (139)
Total DFT energy (no corrections) (eV per atom): -4.2160
Calculated volume (Å³ per cell): 222.5
DOS at the Fermi energy (states/eV per atom): 0.28
Energy above the most stable polymorph in this dataset (kJ per mole of atoms): 0.0

Lattice parameters (Å, degrees): 4.264 4.264 12.241 90.00 90.00 90.00
Element x y z (fractional)
As (0.000, 0.000, 0.142)
As (0.000, 0.000, 0.858)
As (0.500, 0.500, 0.358)
As (0.500, 0.500, 0.642)
P (0.000, 0.500, 0.250)
P (0.000, 0.500, 0.750)
P (0.500, 0.000, 0.250)
P (0.500, 0.000, 0.750)
Br (0.000, 0.000, 0.500)
Br (0.500, 0.500, 0.000)

=====

No. 9
As2P2Br after structural relaxation. Source: Alexandria via LeMat-Bulk, functional PBE.

## Properties
SG: P4/mbm (127)
Total DFT energy (no corrections) (eV per atom): -3.9705
Calculated volume (Å³ per cell): 226.2
DOS at the Fermi energy (states/eV per atom): 0.81
Energy above the most stable polymorph in this dataset (kJ per mole of atoms): 23.7

Lattice parameters (Å, degrees): 8.557 8.557 3.089 90.00 90.00 90.00
Element x y z (fractional)
As (0.147, 0.353, 0.000)
As (0.353, 0.853, 0.000)
As (0.647, 0.147, 0.000)
As (0.853, 0.647, 0.000)
P (0.091, 0.591, 0.500)
P (0.409, 0.091, 0.500)
P (0.591, 0.909, 0.500)
P (0.909, 0.409, 0.500)
Br (0.000, 0.000, 0.000)
Br (0.500, 0.500, 0.000)

=====

No. 10
AsPBr3 after structural relaxation. Source: Alexandria via LeMat-Bulk, functional PBE.

## Properties
SG: Pm-3m (221)
Total DFT energy (no corrections) (eV per atom): -2.5305
Calculated volume (Å³ per cell): 138.9
DOS at the Fermi energy (states/eV per atom): 0.88

Lattice parameters (Å, degrees): 5.179 5.179 5.179 90.00 90.00 90.00
Element x y z (fractional)
As (0.000, 0.000, 0.000)
P (0.500, 0.500, 0.500)
Br (0.000, 0.500, 0.500)
Br (0.500, 0.000, 0.500)
Br (0.500, 0.500, 0.000)

=====

No. 11
AsPBr after structural relaxation. Source: Alexandria via LeMat-Bulk, functional PBE.

## Properties
SG: Fmm2 (42)
Total DFT energy (no corrections) (eV per atom): -3.5677
Calculated volume (Å³ per cell): 417.6
DOS at the Fermi energy (states/eV per atom): 0.29
Energy above the most stable polymorph in this dataset (kJ per mole of atoms): 27.1

Lattice parameters (Å, degrees): 3.394 9.419 13.063 90.00 90.00 90.00
Element x y z (fractional)
As (0.000, 0.000, 0.000)
As (0.000, 0.500, 0.500)
As (0.500, 0.000, 0.500)
As (0.500, 0.500, 0.000)
P (0.000, 0.000, 0.384)
P (0.000, 0.500, 0.884)
P (0.500, 0.000, 0.884)
P (0.500, 0.500, 0.384)
Br (0.000, 0.000, 0.713)
Br (0.000, 0.500, 0.213)
Br (0.500, 0.000, 0.213)
Br (0.500, 0.500, 0.713)

=====

No. 12
As2PBr after structural relaxation. Source: Alexandria via LeMat-Bulk, functional PBE.

## Properties
SG: P4/mmm (123)
Total DFT energy (no corrections) (eV per atom): -3.3816
Calculated volume (Å³ per cell): 78.7
DOS at the Fermi energy (states/eV per atom): 0.39
Energy above the most stable polymorph in this dataset (kJ per mole of atoms): 64.7

Lattice parameters (Å, degrees): 4.979 4.979 3.175 90.00 90.00 90.00
Element x y z (fractional)
As (0.000, 0.500, 0.000)
As (0.500, 0.000, 0.000)
P (0.000, 0.000, 0.500)
Br (0.500, 0.500, 0.500)